The following is a DFT calculation (PBE+U) of a geometry-optimized V2PdF2 structure. Values from VASP.

E_tot   -5.3672 eV/atom
Space-group type   I4/mmm
DOS(E_F)   2.0 states/eV/f.u.

The structure in Quantum ESPRESSO input format:
```
&SYSTEM
  ibrav = 0, nat = 5, ntyp = 3
/
ATOMIC_SPECIES
V 50.94 V.upf
Pd 106.42 Pd.upf
F 19.00 F.upf
CELL_PARAMETERS angstrom
-2.1378 2.1378 4.0123
2.1378 -2.1378 4.0123
2.1378 2.1378 -4.0123
ATOMIC_POSITIONS crystal
V 0.2500 0.7500 0.5000
V 0.7500 0.2500 0.5000
Pd 0.0000 0.0000 0.0000
F 0.3387 0.3387 0.0000
F 0.6613 0.6613 0.0000
```

---

The following is a DFT calculation (PBE+U) of a geometry-optimized V2PdF2 structure. Values from VASP.

E_tot   -5.5871 eV/atom
Space-group type   P4/mbm
DOS(E_F)   0.5 states/eV/f.u.

The structure in Quantum ESPRESSO input format:
```
&SYSTEM
  ibrav = 0, nat = 10, ntyp = 3
/
ATOMIC_SPECIES
V 50.94 V.upf
Pd 106.42 Pd.upf
F 19.00 F.upf
CELL_PARAMETERS angstrom
7.1413 0.0000 0.0000
0.0000 7.1413 0.0000
0.0000 0.0000 3.0108
ATOMIC_POSITIONS crystal
V 0.2398 0.2602 0.0000
V 0.2602 0.7602 0.0000
V 0.7398 0.2398 0.0000
V 0.7602 0.7398 0.0000
Pd 0.0000 0.0000 0.5000
Pd 0.5000 0.5000 0.5000
F 0.1188 0.6188 0.5000
F 0.3812 0.1188 0.5000
F 0.6188 0.8812 0.5000
F 0.8812 0.3812 0.5000
```

---

The following is a DFT calculation (PBE+U) of a geometry-optimized V3PdF structure. Values from VASP.

E_tot   -4.8282 eV/atom
Space-group type   Pm-3m
DOS(E_F)   3.2 states/eV/f.u.

The structure in Quantum ESPRESSO input format:
```
&SYSTEM
  ibrav = 0, nat = 5, ntyp = 3
/
ATOMIC_SPECIES
V 50.94 V.upf
Pd 106.42 Pd.upf
F 19.00 F.upf
CELL_PARAMETERS angstrom
5.0804 0.0000 0.0000
0.0000 5.0804 0.0000
0.0000 0.0000 5.0804
ATOMIC_POSITIONS crystal
V 0.0000 0.0000 0.5000
V 0.0000 0.5000 0.0000
V 0.5000 0.0000 0.0000
Pd 0.0000 0.0000 0.0000
F 0.5000 0.5000 0.5000
```

---

The following is a DFT calculation (PBE+U) of a geometry-optimized VPd3F structure. Values from VASP.

E_tot   -4.6761 eV/atom
Space-group type   Pm-3m
DOS(E_F)   2.7 states/eV/f.u.

The structure in Quantum ESPRESSO input format:
```
&SYSTEM
  ibrav = 0, nat = 5, ntyp = 3
/
ATOMIC_SPECIES
V 50.94 V.upf
Pd 106.42 Pd.upf
F 19.00 F.upf
CELL_PARAMETERS angstrom
4.3776 0.0000 0.0000
0.0000 4.3776 0.0000
0.0000 0.0000 4.3776
ATOMIC_POSITIONS crystal
V 0.0000 0.0000 0.0000
Pd 0.0000 0.5000 0.5000
Pd 0.5000 0.0000 0.5000
Pd 0.5000 0.5000 0.0000
F 0.5000 0.5000 0.5000
```

---

The following is a DFT calculation (PBE+U) of a geometry-optimized VPd3F structure. Values from VASP.

E_tot   -4.1304 eV/atom
Space-group type   Pm-3m
DOS(E_F)   1.9 states/eV/f.u.

The structure in Quantum ESPRESSO input format:
```
&SYSTEM
  ibrav = 0, nat = 5, ntyp = 3
/
ATOMIC_SPECIES
V 50.94 V.upf
Pd 106.42 Pd.upf
F 19.00 F.upf
CELL_PARAMETERS angstrom
4.6998 0.0000 0.0000
0.0000 4.6998 0.0000
0.0000 0.0000 4.6998
ATOMIC_POSITIONS crystal
V 0.0000 0.0000 0.0000
Pd 0.0000 0.0000 0.5000
Pd 0.0000 0.5000 0.0000
Pd 0.5000 0.0000 0.0000
F 0.5000 0.5000 0.5000
```

---

The following is a DFT calculation (PBE+U) of a geometry-optimized V3PdF structure. Values from VASP.

E_tot   -5.6404 eV/atom
Space-group type   Pm-3m
DOS(E_F)   2.5 states/eV/f.u.

The structure in Quantum ESPRESSO input format:
```
&SYSTEM
  ibrav = 0, nat = 5, ntyp = 3
/
ATOMIC_SPECIES
V 50.94 V.upf
Pd 106.42 Pd.upf
F 19.00 F.upf
CELL_PARAMETERS angstrom
4.3611 0.0000 0.0000
0.0000 4.3611 0.0000
0.0000 0.0000 4.3611
ATOMIC_POSITIONS crystal
V 0.0000 0.0000 0.5000
V 0.0000 0.5000 0.0000
V 0.5000 0.0000 0.0000
Pd 0.5000 0.5000 0.5000
F 0.0000 0.0000 0.0000
```

---

The following is a DFT calculation (PBE+U) of a geometry-optimized YVPd2F structure. Values from VASP.

E_tot   -5.3564 eV/atom
Space-group type   P4/mmm
DOS(E_F)   6.6 states/eV/f.u.

The structure in Quantum ESPRESSO input format:
```
&SYSTEM
  ibrav = 0, nat = 5, ntyp = 4
/
ATOMIC_SPECIES
Y 88.91 Y.upf
V 50.94 V.upf
Pd 106.42 Pd.upf
F 19.00 F.upf
CELL_PARAMETERS angstrom
4.8113 0.0000 0.0000
0.0000 4.8113 0.0000
0.0000 0.0000 4.1727
ATOMIC_POSITIONS crystal
Y 0.0000 0.0000 0.0000
V 0.5000 0.5000 0.0000
Pd 0.0000 0.5000 0.5000
Pd 0.5000 0.0000 0.5000
F 0.0000 0.0000 0.5000
```

---

The following is a DFT calculation (PBE+U) of a geometry-optimized Pd3WF structure. Values from VASP.

E_tot   -4.3767 eV/atom
Space-group type   Pm-3m
DOS(E_F)   4.6 states/eV/f.u.

The structure in Quantum ESPRESSO input format:
```
&SYSTEM
  ibrav = 0, nat = 5, ntyp = 3
/
ATOMIC_SPECIES
Pd 106.42 Pd.upf
W 183.84 W.upf
F 19.00 F.upf
CELL_PARAMETERS angstrom
4.3662 0.0000 0.0000
0.0000 4.3662 0.0000
0.0000 0.0000 4.3662
ATOMIC_POSITIONS crystal
Pd 0.0000 0.0000 0.5000
Pd 0.0000 0.5000 0.0000
Pd 0.5000 0.0000 0.0000
W 0.5000 0.5000 0.5000
F 0.0000 0.0000 0.0000
```

---

The following is a DFT calculation (PBE+U) of a geometry-optimized PdWF2 structure. Values from VASP.

E_tot   -4.5596 eV/atom
Space-group type   I-42d
DOS(E_F)   2.3 states/eV/f.u.

The structure in Quantum ESPRESSO input format:
```
&SYSTEM
  ibrav = 0, nat = 8, ntyp = 3
/
ATOMIC_SPECIES
Pd 106.42 Pd.upf
W 183.84 W.upf
F 19.00 F.upf
CELL_PARAMETERS angstrom
-2.0574 2.0574 7.3667
2.0574 -2.0574 7.3667
2.0574 2.0574 -7.3667
ATOMIC_POSITIONS crystal
Pd 0.0000 0.0000 0.0000
Pd 0.7500 0.2500 0.5000
W 0.2500 0.7500 0.5000
W 0.5000 0.5000 0.0000
F 0.2248 0.6250 0.0998
F 0.3750 0.4748 0.5998
F 0.5252 0.1250 0.9002
F 0.8750 0.7752 0.4002
```

---

The following is a DFT calculation (PBE+U) of a geometry-optimized Pd3WF structure. Values from VASP.

E_tot   -3.8278 eV/atom
Space-group type   Pm-3m
DOS(E_F)   3.3 states/eV/f.u.

The structure in Quantum ESPRESSO input format:
```
&SYSTEM
  ibrav = 0, nat = 5, ntyp = 3
/
ATOMIC_SPECIES
Pd 106.42 Pd.upf
W 183.84 W.upf
F 19.00 F.upf
CELL_PARAMETERS angstrom
4.9400 0.0000 0.0000
0.0000 4.9400 0.0000
0.0000 0.0000 4.9400
ATOMIC_POSITIONS crystal
Pd 0.0000 0.0000 0.5000
Pd 0.0000 0.5000 0.0000
Pd 0.5000 0.0000 0.0000
W 0.0000 0.0000 0.0000
F 0.5000 0.5000 0.5000
```

---

The following is a DFT calculation (PBE+U) of a geometry-optimized Pd2WF structure. Values from VASP.

E_tot   -4.7799 eV/atom
Space-group type   I-42d
DOS(E_F)   2.5 states/eV/f.u.

The structure in Quantum ESPRESSO input format:
```
&SYSTEM
  ibrav = 0, nat = 8, ntyp = 3
/
ATOMIC_SPECIES
Pd 106.42 Pd.upf
W 183.84 W.upf
F 19.00 F.upf
CELL_PARAMETERS angstrom
-3.6317 3.6317 2.4848
3.6317 -3.6317 2.4848
3.6317 3.6317 -2.4848
ATOMIC_POSITIONS crystal
Pd 0.0887 0.6250 0.9637
Pd 0.3750 0.3387 0.4637
Pd 0.6613 0.1250 0.0363
Pd 0.8750 0.9113 0.5363
W 0.2500 0.7500 0.5000
W 0.5000 0.5000 0.0000
F 0.0000 0.0000 0.0000
F 0.7500 0.2500 0.5000
```

---

The following is a DFT calculation (PBE+U) of a geometry-optimized Pd2WF structure. Values from VASP.

E_tot   -4.5513 eV/atom
Space-group type   Fm-3m
DOS(E_F)   4.1 states/eV/f.u.

The structure in Quantum ESPRESSO input format:
```
&SYSTEM
  ibrav = 0, nat = 4, ntyp = 3
/
ATOMIC_SPECIES
Pd 106.42 Pd.upf
W 183.84 W.upf
F 19.00 F.upf
CELL_PARAMETERS angstrom
0.0000 3.1114 3.1114
3.1114 0.0000 3.1114
3.1114 3.1114 0.0000
ATOMIC_POSITIONS crystal
Pd 0.2500 0.2500 0.2500
Pd 0.7500 0.7500 0.7500
W 0.0000 0.0000 0.0000
F 0.5000 0.5000 0.5000
```

---

Which formula does entry 7 have? YVPd2F